(1)
Entry from Alexandria: a relaxed structure of Pu2AlPt2 (PBE).

a = 5.772 Å, b = 7.306 Å, c = 7.200 Å
α = 120.49°, β = 113.63°, γ = 90.00°
Site moments in Bohr magnetons follow the coordinates.
Element x y z (fractional)
Al  0.750  0.500  0.000  0.01
Al  0.250  0.500  0.000  0.01
Pu  0.650  0.002  0.300  5.23
Pu  0.850  0.702  0.700  5.23
Pu  0.350  0.998  0.700  5.23
Pu  0.150  0.298  0.300  5.23
Pt  0.398  0.643  0.796  -0.06
Pt  0.898  0.152  0.796  -0.06
Pt  0.102  0.848  0.204  -0.06
Pt  0.602  0.357  0.204  -0.06

Computed properties:
As for the magnetization: 11.0 μB per formula unit. Its symmetry is Ibam. The formation energy comes out at -0.665 eV/atom. The crystal system is orthorhombic. As for the density of states at the Fermi level: 42.640 states/eV per cell.



(2)
Entry from Alexandria: a relaxed structure of LaMgGaPt2 (PBE).

a = 4.118 Å, b = 4.118 Å, c = 6.755 Å
α = 107.74°, β = 107.74°, γ = 90.00°
Element x y z (fractional)
Mg  0.750  0.250  0.500
Ga  0.250  0.750  0.500
Pt  0.387  0.387  0.775
Pt  0.613  0.613  0.225
La  0.000  0.000  0.000

Computed properties:
As for the magnetization: 0.0 μB per formula unit. Its symmetry is I-4m2. The formation energy comes out at -0.960 eV/atom. The crystal system is tetragonal. As for the density of states at the Fermi level: 3.078 states/eV per cell.



(3)
Entry from Alexandria: a relaxed structure of LiCaGeRh (PBE).

a = 4.590 Å, b = 4.590 Å, c = 4.590 Å
α = 60.00°, β = 60.00°, γ = 60.00°
Element x y z (fractional)
Rh  0.750  0.750  0.750
Ca  0.000  0.000  0.000
Li  0.250  0.250  0.250
Ge  0.500  0.500  0.500

Computed properties:
As for the magnetization: 0.0 μB per formula unit. Its symmetry is F-43m. The formation energy comes out at -0.416 eV/atom. The crystal system is cubic. As for the density of states at the Fermi level: 3.092 states/eV per cell.



(4)
Entry from Alexandria: a relaxed structure of Th3Zn6CdAu2 (PBE).

a = 5.872 Å, b = 5.872 Å, c = 8.704 Å
α = 90.00°, β = 90.00°, γ = 120.00°
Element x y z (fractional)
Zn  0.186  0.814  0.271
Zn  0.628  0.814  0.271
Zn  0.814  0.186  0.729
Zn  0.372  0.186  0.729
Zn  0.186  0.372  0.271
Zn  0.814  0.628  0.729
Au  0.667  0.333  0.011
Au  0.333  0.667  0.989
Th  0.000  0.000  0.000
Th  0.333  0.667  0.608
Th  0.667  0.333  0.392
Cd  0.000  0.000  0.500

Computed properties:
As for the magnetization: 0.0 μB per formula unit. Its symmetry is P-3m1. The formation energy comes out at -0.132 eV/atom. The crystal system is trigonal. As for the density of states at the Fermi level: 8.720 states/eV per cell.



(5)
Entry from Alexandria: a relaxed structure of Tb2NdTmS6 (PBE).

a = 6.978 Å, b = 6.978 Å, c = 7.391 Å
α = 61.84°, β = 61.84°, γ = 60.00°
Element x y z (fractional)
Tb  0.519  0.519  0.443
Tb  0.015  0.015  0.955
S  0.923  0.609  0.248
S  0.130  0.402  0.752
S  0.609  0.220  0.248
S  0.716  0.130  0.752
S  0.220  0.923  0.248
S  0.402  0.716  0.752
Nd  0.811  0.811  0.567
Tm  0.317  0.317  0.048

Computed properties:
As for the magnetization: 0.0 μB per formula unit. The calculation puts the uncorrected formation energy at -20.4 eV per formula unit. Its symmetry is R3. The crystal system is trigonal. As for the density of states at the Fermi level: 0.000 states/eV per cell.



(6)
Entry from Alexandria: a relaxed structure of Li2LaPrGe2 (PBE).

a = 4.546 Å, b = 4.546 Å, c = 7.745 Å
α = 90.00°, β = 90.00°, γ = 120.00°
Element x y z (fractional)
La  0.000  0.000  0.000
Li  0.333  0.667  0.738
Li  0.667  0.333  0.262
Pr  0.000  0.000  0.500
Ge  0.333  0.667  0.254
Ge  0.667  0.333  0.746

Computed properties:
As for the magnetization: 0.0 μB per formula unit. Its symmetry is P-3m1. The formation energy comes out at -0.665 eV/atom. The crystal system is trigonal. As for the density of states at the Fermi level: 0.947 states/eV per cell.



(7)
Entry from Alexandria: a relaxed structure of PrLuHfSc (PBE).

a = 5.358 Å, b = 5.358 Å, c = 5.358 Å
α = 60.00°, β = 60.00°, γ = 60.00°
Element x y z (fractional)
Sc  0.750  0.750  0.750
Pr  0.500  0.500  0.500
Hf  0.000  0.000  0.000
Lu  0.250  0.250  0.250

Computed properties:
As for the magnetization: 0.1 μB per formula unit. Its symmetry is F-43m. The formation energy comes out at 0.236 eV/atom. The crystal system is cubic. As for the density of states at the Fermi level: 6.896 states/eV per cell.



(8)
Entry from Alexandria: a relaxed structure of PmNd3Dy2Ho6 (PBE).

a = 6.202 Å, b = 6.202 Å, c = 11.800 Å
α = 95.01°, β = 95.01°, γ = 119.98°
Element x y z (fractional)
Ho  0.417  0.083  0.248
Ho  0.251  0.251  0.752
Ho  0.749  0.749  0.248
Ho  0.917  0.583  0.752
Ho  0.083  0.417  0.248
Ho  0.583  0.917  0.752
Pm  0.000  0.000  0.000
Dy  0.333  0.667  0.000
Dy  0.667  0.333  0.000
Nd  0.500  0.500  0.500
Nd  0.833  0.167  0.500
Nd  0.167  0.833  0.500

Computed properties:
As for the magnetization: 0.0 μB per formula unit. Its symmetry is C2/m. The formation energy comes out at 0.016 eV/atom. The crystal system is monoclinic. As for the density of states at the Fermi level: 14.796 states/eV per cell.



magnetization of number 6 (Li2LaPrGe2)? 0.0 μB per formula unit